(1)
SrPrTm (GGA-PBE, relaxed); E above lowest polymorph = 0 meV/atom; symmetry = No. 107; formation energy = 116.4 meV per atom
1.0
3.783 0.000 0.000
0.000 3.783 0.000
-1.891 -1.891 8.057
Pr Sr Tm
1 1 1
Direct
0.681 0.681 0.363
0.998 0.998 0.995
0.321 0.321 0.642

(2)
Pm2DySc6 (GGA-PBE, relaxed); symmetry = No. 191; formation energy = 72.0 meV per atom
1.0
3.276 0.260 0.208
2.467 9.393 1.589
2.467 3.589 8.825
Pm Dy Sc
2 1 6
Direct
0.333 0.333 0.333
0.667 0.667 0.667
0.000 0.000 0.000
0.169 0.000 0.332
0.831 0.000 0.668
0.831 0.668 0.000
0.500 0.332 0.668
0.500 0.668 0.332
0.169 0.332 0.000

(3)
HoTmTe3 (GGA-PBE, relaxed); E above lowest polymorph = 0 meV/atom; symmetry = No. 148; raw formation energy = -30.9 kcal/mol of atoms
1.0
-2.075 6.768 2.840
-7.083 1.019 2.638
-0.982 0.568 8.170
Ho Tm Te
2 2 6
Direct
0.343 0.343 0.972
0.657 0.657 0.028
0.158 0.158 0.526
0.842 0.842 0.474
0.065 0.435 0.748
0.752 0.065 0.748
0.565 0.248 0.252
0.248 0.935 0.252
0.935 0.565 0.252
0.435 0.752 0.748

(4)
SmCrFe2 (GGA-PBE, relaxed); symmetry = No. 166; formation energy = 677.5 meV per atom
1.0
-1.262 -0.630 -2.579
1.330 -1.828 -1.879
-4.014 -7.453 2.110
Cr Fe Sm
1 2 1
Direct
0.000 0.000 0.000
0.733 0.733 0.802
0.267 0.267 0.198
0.500 0.500 0.500

Record-wise theoretical density values, in g/cm3: 5.725 4.889 6.774 8.145
Record-wise magnetization values, in μB/f.u.: 0.0 0.0 0.0 2.9